## AcTaO4F (PBE-GGA)

Data for an optimized crystal structure of AcTaO4F.

a = 10.460 Å, b = 7.822 Å, c = 7.063 Å
α = 90.00°, β = 99.01°, γ = 90.00°
Space group C2/m (No. 12)
Unique sites:
Ac1 0.194 0.000 0.092 (multiplicity 4)
Ta1 0.120 0.500 0.288 (multiplicity 4)
O1 0.062 0.500 0.754 (multiplicity 4)
O2 0.183 0.320 0.159 (multiplicity 8)
O3 0.185 0.500 0.552 (multiplicity 4)
F1 0.020 0.000 0.813 (multiplicity 4)



## AcTc2O7F2 (PBE-GGA)

Data for an optimized crystal structure of AcTc2O7F2.

a = 3.903 Å, b = 3.903 Å, c = 19.861 Å
α = 90.00°, β = 90.00°, γ = 90.00°
Space group I4/mmm (No. 139)
Unique sites:
Ac1 0.000 0.000 0.000 (multiplicity 2)
Tc1 0.000 0.000 0.385 (multiplicity 4)
O1 0.000 0.000 0.300 (multiplicity 4)
O2 0.000 0.000 0.500 (multiplicity 2)
O3 0.000 0.500 0.098 (multiplicity 8)
F1 0.000 0.500 0.250 (multiplicity 4)



## AcTc2O6F (PBE-GGA)

Data for an optimized crystal structure of AcTc2O6F.

a = 13.898 Å, b = 11.469 Å, c = 4.024 Å
α = 90.00°, β = 90.00°, γ = 90.00°
Space group Cmcm (No. 63)
Unique sites:
Ac1 0.000 0.189 0.250 (multiplicity 4)
Tc1 0.193 0.399 0.750 (multiplicity 8)
O1 0.095 0.295 0.750 (multiplicity 8)
O2 0.169 0.432 0.250 (multiplicity 8)
O3 0.185 0.134 0.250 (multiplicity 8)
F1 0.000 0.069 0.750 (multiplicity 4)



## Ac3TcO6F2 (PBE-GGA)

Data for an optimized crystal structure of Ac3TcO6F2.

a = 12.063 Å, b = 6.982 Å, c = 5.229 Å
α = 90.00°, β = 93.95°, γ = 90.00°
Space group C2/m (No. 12)
Unique sites:
Ac1 0.000 0.000 0.000 (multiplicity 2)
Ac2 0.250 0.250 0.500 (multiplicity 4)
Tc1 0.000 0.500 0.500 (multiplicity 2)
O1 0.064 0.276 0.296 (multiplicity 8)
O2 0.146 0.500 0.695 (multiplicity 4)
F1 0.181 0.000 0.800 (multiplicity 4)



## Ac2Te2O6F (PBE-GGA)

Data for an optimized crystal structure of Ac2Te2O6F.

a = 5.932 Å, b = 6.135 Å, c = 6.420 Å
α = 82.39°, β = 69.88°, γ = 77.55°
Space group P-1 (No. 2)
Unique sites:
Ac1 0.042 0.206 0.209 (multiplicity 2)
Te1 0.401 0.256 0.621 (multiplicity 2)
O1 0.239 0.025 0.837 (multiplicity 2)
O2 0.261 0.449 0.866 (multiplicity 2)
O3 0.274 0.881 0.380 (multiplicity 2)
F1 0.000 0.500 0.500 (multiplicity 1)



## Ac2TeOF (PBE-GGA)

Data for an optimized crystal structure of Ac2TeOF.

a = 4.302 Å, b = 4.302 Å, c = 13.385 Å
α = 90.00°, β = 90.00°, γ = 90.00°
Space group I-4m2 (No. 119)
Unique sites:
Ac1 0.000 0.000 0.146 (multiplicity 4)
Te1 0.000 0.000 0.500 (multiplicity 2)
O1 0.000 0.500 0.250 (multiplicity 2)
F1 0.000 0.500 0.750 (multiplicity 2)



## AcTeO4F (PBE-GGA)

Data for an optimized crystal structure of AcTeO4F.

a = 10.161 Å, b = 7.936 Å, c = 7.463 Å
α = 90.00°, β = 106.24°, γ = 90.00°
Space group C2/m (No. 12)
Unique sites:
Ac1 0.206 0.000 0.124 (multiplicity 4)
Te1 0.151 0.500 0.278 (multiplicity 4)
O1 0.034 0.500 0.747 (multiplicity 4)
O2 0.197 0.323 0.146 (multiplicity 8)
O3 0.248 0.000 0.478 (multiplicity 4)
F1 0.022 0.000 0.834 (multiplicity 4)



## Ac3TeO6F2 (PBE-GGA)

Data for an optimized crystal structure of Ac3TeO6F2.

a = 12.451 Å, b = 7.087 Å, c = 5.214 Å
α = 90.00°, β = 93.62°, γ = 90.00°
Space group C2/m (No. 12)
Unique sites:
Ac1 0.000 0.000 0.000 (multiplicity 2)
Ac2 0.250 0.250 0.500 (multiplicity 4)
Te1 0.000 0.500 0.500 (multiplicity 2)
O1 0.066 0.272 0.292 (multiplicity 8)
O2 0.149 0.500 0.698 (multiplicity 4)
F1 0.176 0.000 0.787 (multiplicity 4)



## Ac2TiO4F2 (PBE-GGA)

Data for an optimized crystal structure of Ac2TiO4F2.

a = 5.846 Å, b = 5.846 Å, c = 7.374 Å
α = 90.00°, β = 90.00°, γ = 90.00°
Space group I4/mmm (No. 139)
Unique sites:
Ac1 0.000 0.500 0.250 (multiplicity 4)
Ti1 0.000 0.000 0.000 (multiplicity 2)
O1 0.232 0.232 0.000 (multiplicity 8)
F1 0.000 0.000 0.266 (multiplicity 4)



## Ac2TlO2F2 (PBE-GGA)

Data for an optimized crystal structure of Ac2TlO2F2.

a = 4.1470 Å, b = 4.1470 Å, c = 11.1189 Å
α = 90.00°, β = 90.00°, γ = 120.00°
Space group P-3m1 (No. 164)
Unique sites:
Ac1 0.3333 0.6667 0.3569 (multiplicity 2)
Tl1 0.0000 0.0000 0.0000 (multiplicity 1)
O1 0.3333 0.6667 0.5788 (multiplicity 2)
F1 0.0000 0.0000 0.2589 (multiplicity 2)



## Ac3UO6F2 (PBE-GGA)

Data for an optimized crystal structure of Ac3UO6F2.

a = 12.901 Å, b = 7.236 Å, c = 5.015 Å
α = 90.00°, β = 93.78°, γ = 90.00°
Space group C2/m (No. 12)
Unique sites:
Ac1 0.000 0.000 0.000 (multiplicity 2)
Ac2 0.250 0.250 0.500 (multiplicity 4)
U1 0.000 0.500 0.500 (multiplicity 2)
O1 0.072 0.266 0.289 (multiplicity 8)
O2 0.154 0.500 0.694 (multiplicity 4)
F1 0.174 0.000 0.786 (multiplicity 4)



Number 1: formation energy from raw total energies -2.871 eV/atom, total magnetization 0.00 μB per atom. Number 2: formation energy from raw total energies -1.501 eV/atom, total magnetization 0.01 μB per atom. Number 3: formation energy from raw total energies -2.019 eV/atom, total magnetization 0.00 μB per atom. Number 4: formation energy from raw total energies -2.698 eV/atom, total magnetization 0.17 μB per atom. Number 5: formation energy from raw total energies -2.225 eV/atom, total magnetization 0.09 μB per atom. Number 6: formation energy from raw total energies -2.757 eV/atom, total magnetization 0.19 μB per atom. Number 7: formation energy from raw total energies -2.145 eV/atom, total magnetization 0.00 μB per atom. Number 8: formation energy from raw total energies -2.619 eV/atom, total magnetization 0.00 μB per atom. Number 9: formation energy from raw total energies -3.316 eV/atom, total magnetization 0.00 μB per atom. Number 10: formation energy from raw total energies -3.137 eV/atom, total magnetization 0.00 μB per atom. Number 11: formation energy from raw total energies -3.358 eV/atom, total magnetization 0.08 μB per atom.